Material: Hf2ScPd8
Method: DFT, PBE
State: relaxed

The structure belongs to space group C2/m (No. 12); the cell edges are 14.358, 4.077 and 6.585 Å and the angles 90.00°, 108.15° and 90.00°. The asymmetric unit holds Hf at (0.220, 0.000, 0.166), Sc at (0.000, 0.500, 0.500), Pd at (0.041, 0.000, 0.223), Pd at (0.100, 0.500, 0.952), Pd at (0.143, 0.000, 0.693) and Pd at (0.178, 0.500, 0.411).

The formation energy comes out at -0.758 eV per atom. The calculation puts the volume at 366.3 Å³/cell. Its energy is -6.920 eV per atom. The calculation puts the total magnetization at 0.00 μB per cell.